(1)
The following is a PBE calculation of an optimized crystal structure of ZnMoRuPt2, from Alexandria.

Energy relative to the elements   1.31 eV per atom
E   -5.386 eV per atom
DOS at the Fermi energy   6.69 states/eV per cell
Total magnetization   0.1942 μB per atom

Cell and atoms, written as CIF:
```
data_ZnMoRuPt2
_chemical_formula_sum 'Zn1 Mo1 Ru1 Pt2'
_cell_length_a 4.880
_cell_length_b 4.568
_cell_length_c 4.880
_cell_angle_alpha 90.00
_cell_angle_beta 90.00
_cell_angle_gamma 90.00
_space_group_name_H-M_alt 'P 1'
_space_group_IT_number 1
loop_
_space_group_symop_operation_xyz
'x,y,z'
loop_
_atom_site_label
_atom_site_fract_x
_atom_site_fract_y
_atom_site_fract_z
Ru1 0.000 0.000 0.000
Mo1 0.000 0.500 0.000
Zn1 0.500 0.500 0.500
Pt1 0.000 0.000 0.500
Pt2 0.500 0.000 0.000
```

=====

(2)
The following is a PBE calculation of an optimized crystal structure of ZrMoRu2Pt, from Alexandria.

Energy relative to the elements   1.74 eV per atom
E   -7.049 eV per atom
DOS at the Fermi energy   10.07 states/eV per cell
Total magnetization   0.0118 μB per atom

Cell and atoms, written as CIF:
```
data_ZrMoRu2Pt
_chemical_formula_sum 'Zr1 Mo1 Ru2 Pt1'
_cell_length_a 4.653
_cell_length_b 4.856
_cell_length_c 4.653
_cell_angle_alpha 90.00
_cell_angle_beta 90.00
_cell_angle_gamma 90.00
_space_group_name_H-M_alt 'P 1'
_space_group_IT_number 1
loop_
_space_group_symop_operation_xyz
'x,y,z'
loop_
_atom_site_label
_atom_site_fract_x
_atom_site_fract_y
_atom_site_fract_z
Ru1 0.000 0.000 0.500
Ru2 0.500 0.000 0.000
Mo1 0.500 0.500 0.500
Zr1 0.000 0.000 0.000
Pt1 0.000 0.500 0.000
```

=====

(3)
The following is a PBE calculation of an optimized crystal structure of MoPt2S, from Alexandria.

E   -6.282 eV per atom
E_form (uncorrected)   0.478 eV per atom
DOS at the Fermi energy   3.91 states/eV per cell
Total magnetization   0.0004 μB per atom

Cell and atoms, written as CIF:
```
data_MoPt2S
_chemical_formula_sum 'Mo1 Pt2 S1'
_cell_length_a 4.489
_cell_length_b 4.489
_cell_length_c 4.489
_cell_angle_alpha 60.00
_cell_angle_beta 60.00
_cell_angle_gamma 60.00
_space_group_name_H-M_alt 'P 1'
_space_group_IT_number 1
loop_
_space_group_symop_operation_xyz
'x,y,z'
loop_
_atom_site_label
_atom_site_fract_x
_atom_site_fract_y
_atom_site_fract_z
Mo1 0.500 0.500 0.500
S1 0.000 0.000 0.000
Pt1 0.250 0.250 0.250
Pt2 0.750 0.750 0.750
```

=====

(4)
The following is a PBE calculation of an optimized crystal structure of Mo2PtS, from Alexandria.

E   -7.899 eV per atom
E_form (uncorrected)   0.058 eV per atom
DOS at the Fermi energy   3.88 states/eV per cell
Total magnetization   0.0000 μB per atom

Cell and atoms, written as CIF:
```
data_Mo2PtS
_chemical_formula_sum 'Mo2 Pt1 S1'
_cell_length_a 4.392
_cell_length_b 4.392
_cell_length_c 4.392
_cell_angle_alpha 60.00
_cell_angle_beta 60.00
_cell_angle_gamma 60.00
_space_group_name_H-M_alt 'P 1'
_space_group_IT_number 1
loop_
_space_group_symop_operation_xyz
'x,y,z'
loop_
_atom_site_label
_atom_site_fract_x
_atom_site_fract_y
_atom_site_fract_z
Mo1 0.250 0.250 0.250
Mo2 0.750 0.750 0.750
S1 0.000 0.000 0.000
Pt1 0.500 0.500 0.500
```

=====

(5)
The following is a PBE calculation of an optimized crystal structure of MoPt3S, from Alexandria.

E   -5.141 eV per atom
E_form (uncorrected)   1.475 eV per atom
DOS at the Fermi energy   6.58 states/eV per cell
Total magnetization   0.0000 μB per atom

Cell and atoms, written as CIF:
```
data_MoPt3S
_chemical_formula_sum 'Mo1 Pt3 S1'
_cell_length_a 4.819
_cell_length_b 4.819
_cell_length_c 4.819
_cell_angle_alpha 90.00
_cell_angle_beta 90.00
_cell_angle_gamma 90.00
_space_group_name_H-M_alt 'P 1'
_space_group_IT_number 1
loop_
_space_group_symop_operation_xyz
'x,y,z'
loop_
_atom_site_label
_atom_site_fract_x
_atom_site_fract_y
_atom_site_fract_z
Mo1 0.000 0.000 0.000
S1 0.500 0.500 0.500
Pt1 0.000 0.500 0.000
Pt2 0.000 0.000 0.500
Pt3 0.500 0.000 0.000
```

=====

(6)
The following is a PBE calculation of an optimized crystal structure of MoPt3S, from Alexandria.

E   -5.959 eV per atom
E_form (uncorrected)   0.658 eV per atom
DOS at the Fermi energy   2.81 states/eV per cell
Total magnetization   0.7510 μB per atom

Cell and atoms, written as CIF:
```
data_MoPt3S
_chemical_formula_sum 'Mo1 Pt3 S1'
_cell_length_a 4.504
_cell_length_b 4.504
_cell_length_c 4.504
_cell_angle_alpha 90.00
_cell_angle_beta 90.00
_cell_angle_gamma 90.00
_space_group_name_H-M_alt 'P 1'
_space_group_IT_number 1
loop_
_space_group_symop_operation_xyz
'x,y,z'
loop_
_atom_site_label
_atom_site_fract_x
_atom_site_fract_y
_atom_site_fract_z
Mo1 0.500 0.500 0.500
S1 0.000 0.000 0.000
Pt1 0.000 0.500 0.000
Pt2 0.000 0.000 0.500
Pt3 0.500 0.000 0.000
```

=====

(7)
The following is a PBE calculation of an optimized crystal structure of Mo3PtS, from Alexandria.

E   -8.076 eV per atom
E_form (uncorrected)   0.456 eV per atom
DOS at the Fermi energy   6.02 states/eV per cell
Total magnetization   0.0000 μB per atom

Cell and atoms, written as CIF:
```
data_Mo3PtS
_chemical_formula_sum 'Mo3 Pt1 S1'
_cell_length_a 4.384
_cell_length_b 4.384
_cell_length_c 4.384
_cell_angle_alpha 90.00
_cell_angle_beta 90.00
_cell_angle_gamma 90.00
_space_group_name_H-M_alt 'P 1'
_space_group_IT_number 1
loop_
_space_group_symop_operation_xyz
'x,y,z'
loop_
_atom_site_label
_atom_site_fract_x
_atom_site_fract_y
_atom_site_fract_z
Mo1 0.000 0.500 0.000
Mo2 0.000 0.000 0.500
Mo3 0.500 0.000 0.000
S1 0.000 0.000 0.000
Pt1 0.500 0.500 0.500
```

=====

(8)
The following is a PBE calculation of an optimized crystal structure of MoPtS2, from Alexandria.

E   -6.681 eV per atom
E_form (uncorrected)   -0.399 eV per atom
DOS at the Fermi energy   3.62 states/eV per cell
Total magnetization   0.0000 μB per atom

Cell and atoms, written as CIF:
```
data_MoPtS2
_chemical_formula_sum 'Mo1 Pt1 S2'
_cell_length_a 7.992
_cell_length_b 7.992
_cell_length_c 7.992
_cell_angle_alpha 22.61
_cell_angle_beta 22.61
_cell_angle_gamma 22.61
_space_group_name_H-M_alt 'P 1'
_space_group_IT_number 1
loop_
_space_group_symop_operation_xyz
'x,y,z'
loop_
_atom_site_label
_atom_site_fract_x
_atom_site_fract_y
_atom_site_fract_z
Mo1 0.500 0.500 0.500
S1 0.902 0.902 0.902
S2 0.098 0.098 0.098
Pt1 0.000 0.000 0.000
```

=====

(9)
The following is a PBE calculation of an optimized crystal structure of MoPtS2, from Alexandria.

E   -6.012 eV per atom
E_form (uncorrected)   0.269 eV per atom
DOS at the Fermi energy   3.35 states/eV per cell
Total magnetization   0.0000 μB per atom

Cell and atoms, written as CIF:
```
data_MoPtS2
_chemical_formula_sum 'Mo1 Pt1 S2'
_cell_length_a 7.733
_cell_length_b 7.733
_cell_length_c 7.733
_cell_angle_alpha 24.91
_cell_angle_beta 24.91
_cell_angle_gamma 24.91
_space_group_name_H-M_alt 'P 1'
_space_group_IT_number 1
loop_
_space_group_symop_operation_xyz
'x,y,z'
loop_
_atom_site_label
_atom_site_fract_x
_atom_site_fract_y
_atom_site_fract_z
Mo1 0.000 0.000 0.000
S1 0.898 0.898 0.898
S2 0.102 0.102 0.102
Pt1 0.500 0.500 0.500
```

=====

(10)
The following is a PBE calculation of an optimized crystal structure of MoPtS3, from Alexandria.

E   -4.952 eV per atom
E_form (uncorrected)   0.899 eV per atom
DOS at the Fermi energy   3.74 states/eV per cell
Total magnetization   0.5369 μB per atom

Cell and atoms, written as CIF:
```
data_MoPtS3
_chemical_formula_sum 'Mo1 Pt1 S3'
_cell_length_a 4.675
_cell_length_b 4.675
_cell_length_c 4.675
_cell_angle_alpha 90.00
_cell_angle_beta 90.00
_cell_angle_gamma 90.00
_space_group_name_H-M_alt 'P 1'
_space_group_IT_number 1
loop_
_space_group_symop_operation_xyz
'x,y,z'
loop_
_atom_site_label
_atom_site_fract_x
_atom_site_fract_y
_atom_site_fract_z
Mo1 0.500 0.500 0.500
S1 0.000 0.500 0.000
S2 0.000 0.000 0.500
S3 0.500 0.000 0.000
Pt1 0.000 0.000 0.000
```

=====

(11)
The following is a PBE calculation of an optimized crystal structure of Mo3PtS, from Alexandria.

E   -6.596 eV per atom
E_form (uncorrected)   1.937 eV per atom
DOS at the Fermi energy   5.46 states/eV per cell
Total magnetization   0.0000 μB per atom

Cell and atoms, written as CIF:
```
data_Mo3PtS
_chemical_formula_sum 'Mo3 Pt1 S1'
_cell_length_a 4.801
_cell_length_b 4.801
_cell_length_c 4.801
_cell_angle_alpha 90.00
_cell_angle_beta 90.00
_cell_angle_gamma 90.00
_space_group_name_H-M_alt 'P 1'
_space_group_IT_number 1
loop_
_space_group_symop_operation_xyz
'x,y,z'
loop_
_atom_site_label
_atom_site_fract_x
_atom_site_fract_y
_atom_site_fract_z
Mo1 0.000 0.500 0.000
Mo2 0.000 0.000 0.500
Mo3 0.500 0.000 0.000
S1 0.500 0.500 0.500
Pt1 0.000 0.000 0.000
```

=====

(12)
The following is a PBE calculation of an optimized crystal structure of MoPtS2, from Alexandria.

E   -6.066 eV per atom
E_form (uncorrected)   0.215 eV per atom
DOS at the Fermi energy   4.40 states/eV per cell
Total magnetization   0.0000 μB per atom

Cell and atoms, written as CIF:
```
data_MoPtS2
_chemical_formula_sum 'Mo1 Pt1 S2'
_cell_length_a 4.357
_cell_length_b 4.357
_cell_length_c 4.357
_cell_angle_alpha 60.00
_cell_angle_beta 60.00
_cell_angle_gamma 60.00
_space_group_name_H-M_alt 'P 1'
_space_group_IT_number 1
loop_
_space_group_symop_operation_xyz
'x,y,z'
loop_
_atom_site_label
_atom_site_fract_x
_atom_site_fract_y
_atom_site_fract_z
Mo1 0.000 0.000 0.000
S1 0.250 0.250 0.250
S2 0.750 0.750 0.750
Pt1 0.500 0.500 0.500
```

=====

(13)
The following is a PBE calculation of an optimized crystal structure of Mo2PtS, from Alexandria.

E   -7.517 eV per atom
E_form (uncorrected)   0.440 eV per atom
DOS at the Fermi energy   5.79 states/eV per cell
Total magnetization   0.0000 μB per atom

Cell and atoms, written as CIF:
```
data_Mo2PtS
_chemical_formula_sum 'Mo4 Pt2 S2'
_cell_length_a 5.573
_cell_length_b 5.573
_cell_length_c 6.668
_cell_angle_alpha 65.30
_cell_angle_beta 65.30
_cell_angle_gamma 90.00
_space_group_name_H-M_alt 'P 1'
_space_group_IT_number 1
loop_
_space_group_symop_operation_xyz
'x,y,z'
loop_
_atom_site_label
_atom_site_fract_x
_atom_site_fract_y
_atom_site_fract_z
Mo1 0.602 0.125 0.250
Mo2 0.148 0.625 0.250
Mo3 0.375 0.398 0.750
Mo4 0.875 0.852 0.750
S1 0.500 0.500 0.000
S2 0.250 0.750 0.500
Pt1 0.000 0.000 0.000
Pt2 0.750 0.250 0.500
```

=====

(14)
The following is a PBE calculation of an optimized crystal structure of MoPtS2, from Alexandria.

E   -6.392 eV per atom
E_form (uncorrected)   -0.110 eV per atom
DOS at the Fermi energy   3.87 states/eV per cell
Total magnetization   0.0000 μB per atom

Cell and atoms, written as CIF:
```
data_MoPtS2
_chemical_formula_sum 'Mo2 Pt2 S4'
_cell_length_a 5.498
_cell_length_b 5.498
_cell_length_c 6.460
_cell_angle_alpha 64.81
_cell_angle_beta 64.81
_cell_angle_gamma 90.00
_space_group_name_H-M_alt 'P 1'
_space_group_IT_number 1
loop_
_space_group_symop_operation_xyz
'x,y,z'
loop_
_atom_site_label
_atom_site_fract_x
_atom_site_fract_y
_atom_site_fract_z
Mo1 0.500 0.500 0.000
Mo2 0.250 0.750 0.500
S1 0.614 0.125 0.250
S2 0.136 0.625 0.250
S3 0.375 0.386 0.750
S4 0.875 0.864 0.750
Pt1 0.000 0.000 0.000
Pt2 0.750 0.250 0.500
```

=====

(15)
The following is a PBE calculation of an optimized crystal structure of MoPt2S, from Alexandria.

E   -6.335 eV per atom
E_form (uncorrected)   0.425 eV per atom
DOS at the Fermi energy   3.41 states/eV per cell
Total magnetization   0.0000 μB per atom

Cell and atoms, written as CIF:
```
data_MoPt2S
_chemical_formula_sum 'Mo2 Pt4 S2'
_cell_length_a 6.105
_cell_length_b 6.105
_cell_length_c 6.185
_cell_angle_alpha 60.43
_cell_angle_beta 60.43
_cell_angle_gamma 90.00
_space_group_name_H-M_alt 'P 1'
_space_group_IT_number 1
loop_
_space_group_symop_operation_xyz
'x,y,z'
loop_
_atom_site_label
_atom_site_fract_x
_atom_site_fract_y
_atom_site_fract_z
Mo1 0.000 0.000 0.000
Mo2 0.750 0.250 0.500
S1 0.500 0.500 0.000
S2 0.250 0.750 0.500
Pt1 0.617 0.125 0.250
Pt2 0.133 0.625 0.250
Pt3 0.375 0.383 0.750
Pt4 0.875 0.867 0.750
```